Entry from Alexandria: a geometry-optimized La2As4Pd3Rh structure (PBE).

Cell and atoms, written as POSCAR:
```
La2As4Pd3Rh
1.0
-4.291 0.966 0.773
-1.199 -3.935 -1.737
0.679 -4.164 8.965
Rh As La Pd
1 4 2 3
direct
0.500 0.500 0.500
0.500 0.500 0.000
0.500 0.000 0.627
0.000 0.000 0.000
0.000 0.500 0.373
0.500 0.000 0.250
0.000 0.500 0.750
0.500 0.000 0.879
0.000 0.000 0.500
0.000 0.500 0.121
```

Calculated values
Formation enthalpy at 0 K ... -0.93 eV/atom
VASP energy ... -60.671 eV for the cell shown
SG ... P-4m2


Entry from Alexandria: a geometry-optimized TaPd4Au structure (PBE).

Cell and atoms, written as POSCAR:
```
TaPd4Au
1.0
-1.602 1.323 -5.269
-2.776 -3.552 -2.738
-6.457 2.959 2.706
Au Pd Ta
2 8 2
direct
0.500 0.750 0.750
0.500 0.250 0.250
0.243 0.489 0.566
0.757 0.511 0.434
0.243 0.489 0.934
0.757 0.511 0.066
0.243 0.989 0.434
0.757 0.011 0.566
0.243 0.989 0.066
0.757 0.011 0.934
0.000 0.750 0.250
0.000 0.250 0.750
```

Calculated values
Formation enthalpy at 0 K ... -0.17 eV/atom
VASP energy ... -73.896 eV for the cell shown
Energy above the lowest structure with this stoichiometry ... 105 meV per atom
SG ... C2/m